Record 1
A geometry-optimized ZnPd2Au3 structure, computed with PBE-GGA.

Cell: 5.0002 5.0002 9.3189 Å, 95.27 95.27 120.07°
Positions (direct):
Zn (0.1671, 0.8329, 0.0000)
Zn (0.8329, 0.1671, 0.0000)
Pd (0.0000, 0.0000, 0.5000)
Pd (0.3342, 0.6658, 0.5000)
Pd (0.5000, 0.5000, 0.0000)
Pd (0.6658, 0.3342, 0.5000)
Au (0.0807, 0.4181, 0.7540)
Au (0.2440, 0.2440, 0.2448)
Au (0.4181, 0.0807, 0.7540)
Au (0.5819, 0.9193, 0.2460)
Au (0.7560, 0.7560, 0.7552)
Au (0.9193, 0.5819, 0.2460)

Summary:
formation enthalpy at 0 K	-0.146	eV per atom
total magnetization	0.000	μB per cell
polymorph energy (0 for the lowest one)	48.1	meV per atom
VASP energy	-3.73	eV per atom
N(E_F)	0.33	states/eV/atom

=====

Record 2
A geometry-optimized ZnPd2Au3 structure, computed with PBE-GGA.

Cell: 4.9525 6.5314 7.0039 Å, 112.98 90.82 106.30°
Positions (direct):
Zn (0.1295, 0.1169, 0.3571)
Zn (0.8705, 0.8831, 0.6429)
Pd (0.2074, 0.8776, 0.9622)
Pd (0.4270, 0.1170, 0.6959)
Pd (0.5730, 0.8830, 0.3041)
Pd (0.7926, 0.1224, 0.0378)
Au (0.0267, 0.3602, 0.7803)
Au (0.2992, 0.6323, 0.5463)
Au (0.3746, 0.3695, 0.1205)
Au (0.6254, 0.6305, 0.8795)
Au (0.7008, 0.3677, 0.4537)
Au (0.9733, 0.6398, 0.2197)

Summary:
formation enthalpy at 0 K	-0.195	eV per atom
total magnetization	0.000	μB per cell
polymorph energy (0 for the lowest one)	0.0	meV per atom
VASP energy	-3.78	eV per atom
N(E_F)	0.36	states/eV/atom

=====

Record 3
A geometry-optimized Zn2PdAu structure, computed with PBE-GGA.

Cell: 4.1454 4.1454 3.5652 Å, 90.00 90.00 90.00°
Positions (direct):
Zn (0.0000, 0.5000, 0.0000)
Zn (0.5000, 0.0000, 0.0000)
Pd (0.0000, 0.0000, 0.5000)
Au (0.5000, 0.5000, 0.5000)

Summary:
formation enthalpy at 0 K	-0.380	eV per atom
total magnetization	0.000	μB per cell
VASP energy	-3.13	eV per atom
N(E_F)	0.42	states/eV/atom

=====

Record 4
A geometry-optimized ZnPd2Au2 structure, computed with PBE-GGA.

Cell: 2.9635 5.0703 5.8586 Å, 93.13 104.64 106.74°
Positions (direct):
Zn (0.0000, 0.0000, 0.0000)
Pd (0.2143, 0.8079, 0.6223)
Pd (0.7857, 0.1921, 0.3777)
Au (0.4121, 0.6189, 0.2057)
Au (0.5879, 0.3811, 0.7943)

Summary:
formation enthalpy at 0 K	-0.225	eV per atom
total magnetization	0.000	μB per cell
polymorph energy (0 for the lowest one)	16.7	meV per atom
VASP energy	-3.87	eV per atom
N(E_F)	0.47	states/eV/atom

=====

What did the second record say?
A geometry-optimized ZnPd2Au3 structure, computed with PBE-GGA.

Cell: 4.9525 6.5314 7.0039 Å, 112.98 90.82 106.30°
Positions (direct):
Zn (0.1295, 0.1169, 0.3571)
Zn (0.8705, 0.8831, 0.6429)
Pd (0.2074, 0.8776, 0.9622)
Pd (0.4270, 0.1170, 0.6959)
Pd (0.5730, 0.8830, 0.3041)
Pd (0.7926, 0.1224, 0.0378)
Au (0.0267, 0.3602, 0.7803)
Au (0.2992, 0.6323, 0.5463)
Au (0.3746, 0.3695, 0.1205)
Au (0.6254, 0.6305, 0.8795)
Au (0.7008, 0.3677, 0.4537)
Au (0.9733, 0.6398, 0.2197)

Summary:
formation enthalpy at 0 K	-0.195	eV per atom
total magnetization	0.000	μB per cell
polymorph energy (0 for the lowest one)	0.0	meV per atom
VASP energy	-3.78	eV per atom
N(E_F)	0.36	states/eV/atom